The following is a DFT calculation (meta-GGA SCAN) of a crystal of TiCrSb2Os relaxed with PBEsol.

Summary:
- Raw formation energy: 0.997 eV/atom
- Crystal system: tetragonal

a b c (Å): 4.8488 4.8488 4.4487
angles (deg): 90.00 90.00 90.00
Space group P4/mmm (No. 123)
One atom of each set of equivalent atoms:
Ti: 0.0000 0.0000 0.0000 (multiplicity 1)
Cr: 0.5000 0.5000 0.5000 (multiplicity 1)
Sb: 0.0000 0.5000 0.5000 (multiplicity 2)
Os: 0.5000 0.5000 0.0000 (multiplicity 1)


The following is a DFT calculation (meta-GGA SCAN) of a crystal of HfIrO2 relaxed with PBEsol.

Summary:
- Raw formation energy: -1.868 eV/atom
- Crystal system: trigonal

a b c (Å): 3.2942 3.2942 17.0882
angles (deg): 90.00 90.00 120.00
Space group R-3m (No. 166, hexagonal axes)
One atom of each set of equivalent atoms:
Hf: 0.0000 0.0000 0.0000 (multiplicity 3)
Ir: 0.0000 0.0000 0.5000 (multiplicity 3)
O: 0.0000 0.0000 0.3819 (multiplicity 6)


The following is a DFT calculation (meta-GGA SCAN) of a crystal of NaCdTeI2 relaxed with PBEsol.

Summary:
- Raw formation energy: -0.386 eV/atom
- Crystal system: tetragonal

a b c (Å): 5.8959 5.8959 5.5533
angles (deg): 90.00 90.00 90.00
Space group P4/mmm (No. 123)
One atom of each set of equivalent atoms:
Na: 0.0000 0.0000 0.0000 (multiplicity 1)
Cd: 0.5000 0.5000 0.5000 (multiplicity 1)
Te: 0.5000 0.5000 0.0000 (multiplicity 1)
I: 0.0000 0.5000 0.5000 (multiplicity 2)


The following is a DFT calculation (meta-GGA SCAN) of a crystal of MnZnBr2 relaxed with PBEsol.

Summary:
- Raw formation energy: -0.426 eV/atom
- Crystal system: monoclinic

a b c (Å): 3.6327 3.5035 8.6548
angles (deg): 90.00 101.81 90.00
Space group P2/m (No. 10)
One atom of each set of equivalent atoms:
Mn: 0.0000 0.0000 0.0000 (multiplicity 1)
Zn: 0.5000 0.0000 0.5000 (multiplicity 1)
Br: 0.1675 0.5000 0.8122 (multiplicity 2)


The following is a DFT calculation (meta-GGA SCAN) of a crystal of Lu2Cr2C3 relaxed with PBEsol.

Summary:
- Crystal system: monoclinic
- Final energy: -25.8337 eV/atom

a b c (Å): 10.3375 3.2355 5.3949
angles (deg): 90.00 106.61 90.00
Space group C2/m (No. 12)
One atom of each set of equivalent atoms:
Lu: 0.1093 0.0000 0.3169 (multiplicity 4)
Cr: 0.1542 0.5000 0.8838 (multiplicity 4)
C: 0.0000 0.5000 0.0000 (multiplicity 2)
C: 0.2222 0.0000 0.7622 (multiplicity 4)


The following is a DFT calculation (meta-GGA SCAN) of a crystal of Sr2AsCl relaxed with PBEsol.

Summary:
- Raw formation energy: -1.855 eV/atom
- Crystal system: tetragonal

a b c (Å): 4.4051 4.4051 6.0458
angles (deg): 90.00 90.00 90.00
Space group P4/mmm (No. 123)
One atom of each set of equivalent atoms:
Sr: 0.0000 0.0000 0.0000 (multiplicity 1)
Sr: 0.5000 0.5000 0.5000 (multiplicity 1)
As: 0.0000 0.0000 0.5000 (multiplicity 1)
Cl: 0.5000 0.5000 0.0000 (multiplicity 1)


The following is a DFT calculation (meta-GGA SCAN) of a crystal of DyGePd relaxed with PBEsol.

Summary:
- Crystal system: orthorhombic
- Final energy: -34.3428 eV/atom

a b c (Å): 4.3395 20.6879 7.5171
angles (deg): 90.00 90.00 90.00
Space group Imm2 (No. 44)
One atom of each set of equivalent atoms:
Dy: 0.0000 0.0000 0.0000 (multiplicity 2)
Dy: 0.0000 0.1674 0.0788 (multiplicity 4)
Dy: 0.0000 0.3334 0.9980 (multiplicity 4)
Dy: 0.0000 0.5000 0.0845 (multiplicity 2)
Ge: 0.0000 0.0648 0.3814 (multiplicity 4)
Ge: 0.0000 0.2351 0.6968 (multiplicity 4)
Ge: 0.0000 0.4052 0.3799 (multiplicity 4)
Pd: 0.0000 0.1046 0.7078 (multiplicity 4)
Pd: 0.0000 0.2681 0.3683 (multiplicity 4)
Pd: 0.0000 0.4284 0.7115 (multiplicity 4)


The following is a DFT calculation (meta-GGA SCAN) of a crystal of AlTcAu relaxed with PBEsol.

Summary:
- Crystal system: cubic
- Final energy: -37.0133 eV/atom

a b c (Å): 6.0393 6.0393 6.0393
angles (deg): 90.00 90.00 90.00
Space group F-43m (No. 216)
One atom of each set of equivalent atoms:
Al: 0.0000 0.0000 0.0000 (multiplicity 4)
Tc: 0.2500 0.2500 0.7500 (multiplicity 4)
Au: 0.0000 0.0000 0.5000 (multiplicity 4)


The following is a DFT calculation (meta-GGA SCAN) of a crystal of Y2CoOs relaxed with PBEsol.

Summary:
- Crystal system: orthorhombic
- Final energy: -36.2947 eV/atom

a b c (Å): 3.2344 4.5429 10.4699
angles (deg): 90.00 90.00 90.00
Space group Imm2 (No. 44)
One atom of each set of equivalent atoms:
Y: 0.0000 0.0000 0.0000 (multiplicity 2)
Y: 0.0000 0.5000 0.2147 (multiplicity 2)
Co: 0.0000 0.5000 0.7708 (multiplicity 2)
Os: 0.0000 0.0000 0.4448 (multiplicity 2)


The following is a DFT calculation (meta-GGA SCAN) of a crystal of K3AsF6 relaxed with PBEsol.

Summary:
- Raw formation energy: -2.601 eV/atom
- Crystal system: cubic

a b c (Å): 8.9992 8.9992 8.9992
angles (deg): 90.00 90.00 90.00
Space group Fm-3m (No. 225)
One atom of each set of equivalent atoms:
K: 0.0000 0.0000 0.0000 (multiplicity 4)
K: 0.2500 0.2500 0.2500 (multiplicity 8)
As: 0.0000 0.0000 0.5000 (multiplicity 4)
F: 0.0000 0.0000 0.2732 (multiplicity 24)


The following is a DFT calculation (meta-GGA SCAN) of a crystal of ZnInPt2 relaxed with PBEsol.

Summary:
- Crystal system: orthorhombic
- Final energy: -47.3084 eV/atom

a b c (Å): 5.7495 7.5050 2.9022
angles (deg): 90.00 90.00 90.00
Space group Cmmm (No. 65)
One atom of each set of equivalent atoms:
Zn: 0.0000 0.0000 0.0000 (multiplicity 2)
In: 0.0000 0.5000 0.0000 (multiplicity 2)
Pt: 0.2500 0.2500 0.5000 (multiplicity 4)


The following is a DFT calculation (meta-GGA SCAN) of a crystal of MoHIr2 relaxed with PBEsol.

Summary:
- Crystal system: cubic
- Final energy: -44.5792 eV/atom

a b c (Å): 5.8888 5.8888 5.8888
angles (deg): 90.00 90.00 90.00
Space group Fm-3m (No. 225)
One atom of each set of equivalent atoms:
Mo: 0.0000 0.0000 0.0000 (multiplicity 4)
H: 0.0000 0.0000 0.5000 (multiplicity 4)
Ir: 0.2500 0.2500 0.2500 (multiplicity 8)


The following is a DFT calculation (meta-GGA SCAN) of a crystal of LiCd2Bi2 relaxed with PBEsol.

Summary:
- Crystal system: tetragonal
- Final energy: -44.0898 eV/atom

a b c (Å): 4.8099 4.8099 12.8800
angles (deg): 90.00 90.00 90.00
Space group I4/mmm (No. 139)
One atom of each set of equivalent atoms:
Li: 0.0000 0.0000 0.0000 (multiplicity 2)
Cd: 0.0000 0.0000 0.3966 (multiplicity 4)
Bi: 0.0000 0.5000 0.2500 (multiplicity 4)


The following is a DFT calculation (meta-GGA SCAN) of a crystal of ScGaNi3 relaxed with PBEsol.

Summary:
- Crystal system: cubic
- Final energy: -14.7170 eV/atom

a b c (Å): 4.3410 4.3410 4.3410
angles (deg): 90.00 90.00 90.00
Space group Pm-3m (No. 221)
One atom of each set of equivalent atoms:
Sc: 0.0000 0.0000 0.0000 (multiplicity 1)
Ga: 0.5000 0.5000 0.5000 (multiplicity 1)
Ni: 0.0000 0.0000 0.5000 (multiplicity 3)


The following is a DFT calculation (meta-GGA SCAN) of a crystal of MgCdAg2 relaxed with PBEsol.

Summary:
- Crystal system: monoclinic
- Final energy: -24.6803 eV/atom

a b c (Å): 10.0749 3.2434 4.7053
angles (deg): 90.00 110.38 90.00
Space group Cm (No. 8)
One atom of each set of equivalent atoms:
Mg: 0.0000 0.0000 0.0000 (multiplicity 2)
Cd: 0.2645 0.5000 0.3154 (multiplicity 2)
Ag: 0.0123 0.5000 0.5087 (multiplicity 2)
Ag: 0.2524 0.0000 0.8062 (multiplicity 2)


The following is a DFT calculation (meta-GGA SCAN) of a crystal of TiB2Mo2 relaxed with PBEsol.

Summary:
- Crystal system: tetragonal
- Final energy: -20.7874 eV/atom

a b c (Å): 5.9443 5.9443 3.1288
angles (deg): 90.00 90.00 90.00
Space group P4/mbm (No. 127)
One atom of each set of equivalent atoms:
Ti: 0.0000 0.0000 0.0000 (multiplicity 2)
B: 0.1106 0.3894 0.0000 (multiplicity 4)
Mo: 0.1762 0.6762 0.5000 (multiplicity 4)


The following is a DFT calculation (meta-GGA SCAN) of a crystal of NbWI2N relaxed with PBEsol.

Summary:
- Raw formation energy: 1.241 eV/atom
- Crystal system: tetragonal

a b c (Å): 5.5582 5.5582 3.8539
angles (deg): 90.00 90.00 90.00
Space group P4/mmm (No. 123)
One atom of each set of equivalent atoms:
Nb: 0.0000 0.0000 0.0000 (multiplicity 1)
W: 0.5000 0.5000 0.5000 (multiplicity 1)
I: 0.0000 0.5000 0.0000 (multiplicity 2)
N: 0.0000 0.0000 0.5000 (multiplicity 1)


The following is a DFT calculation (meta-GGA SCAN) of a crystal of Be2HPbN relaxed with PBEsol.

Summary:
- Crystal system: tetragonal
- Final energy: -17.4840 eV/atom

a b c (Å): 4.6755 4.6755 4.6069
angles (deg): 90.00 90.00 90.00
Space group P4/mmm (No. 123)
One atom of each set of equivalent atoms:
Be: 0.0000 0.5000 0.0000 (multiplicity 2)
H: 0.0000 0.0000 0.5000 (multiplicity 1)
Pb: 0.5000 0.5000 0.0000 (multiplicity 1)
N: 0.5000 0.5000 0.5000 (multiplicity 1)


The following is a DFT calculation (meta-GGA SCAN) of a crystal of LiCdPb2 relaxed with PBEsol.

Summary:
- Crystal system: trigonal
- Final energy: -46.2040 eV/atom

a b c (Å): 3.4572 3.4572 28.3415
angles (deg): 90.00 90.00 120.00
Space group R-3m (No. 166, hexagonal axes)
One atom of each set of equivalent atoms:
Li: 0.0000 0.0000 0.0000 (multiplicity 3)
Cd: 0.0000 0.0000 0.5000 (multiplicity 3)
Pb: 0.0000 0.0000 0.2531 (multiplicity 6)


The following is a DFT calculation (meta-GGA SCAN) of a crystal of HoSi2Ir2 relaxed with PBEsol.

Summary:
- Raw formation energy: -1.228 eV/atom
- Crystal system: tetragonal

a b c (Å): 4.0761 4.0761 9.7804
angles (deg): 90.00 90.00 90.00
Space group P4/nmm (No. 129, origin choice 2)
One atom of each set of equivalent atoms:
Ho: 0.2500 0.2500 0.2472 (multiplicity 2)
Si: 0.2500 0.2500 0.6314 (multiplicity 2)
Si: 0.2500 0.7500 0.0000 (multiplicity 2)
Ir: 0.2500 0.2500 0.8704 (multiplicity 2)
Ir: 0.2500 0.7500 0.5000 (multiplicity 2)


| no. | DOS at the Fermi energy (states/eV per cell) |
| --- | --- |
| 1 | 5.40 |
| 2 | 1.98 |
| 3 | 3.45 |
| 4 | 0.17 |
| 5 | 6.08 |
| 6 | 0.03 |
| 7 | 11.68 |
| 8 | 6.69 |
| 9 | 5.18 |
| 10 | 0.00 |
| 11 | 1.69 |
| 12 | 8.19 |
| 13 | 2.30 |
| 14 | 2.53 |
| 15 | 2.28 |
| 16 | 2.27 |
| 17 | 2.27 |
| 18 | 1.03 |
| 19 | 4.72 |
| 20 | 4.18 |